1.
Below is crystalline Na2Pr3ErS6 at its relaxed geometry, with properties calculated at the PBE level.

Results
spin magnetization	0.0	Bohr magnetons per cell
ΔE_f (raw)	-1853	meV/atom

Unit cell a=7.0281 b=7.0281 c=7.0004 alpha=99.59 beta=99.59 gamma=119.94
Element x y z (fractional)
S: 0.4022 0.0802 0.2400
S: 0.0802 0.4022 0.2400
S: 0.2389 0.2389 0.7535
S: 0.7611 0.7611 0.2465
S: 0.5978 0.9198 0.7600
S: 0.9198 0.5978 0.7600
Na: 0.3346 0.6654 0.0000
Na: 0.6654 0.3346 0.0000
Pr: 0.5000 0.5000 0.5000
Pr: 0.8289 0.1711 0.5000
Pr: 0.1711 0.8289 0.5000
Er: 0.0000 0.0000 0.0000

***

2.
Below is crystalline RbBe3Cl at its relaxed geometry, with properties calculated at the PBE level.

Results
spin magnetization	0.0	Bohr magnetons per cell
ΔE_f (raw)	1443	meV/atom
relative energy among the computed polymorphs	0	meV/atom

Unit cell a=5.0969 b=5.0969 c=5.0969 alpha=90.00 beta=90.00 gamma=90.00
Element x y z (fractional)
Be: 0.0000 0.5000 0.0000
Be: 0.0000 0.0000 0.5000
Be: 0.5000 0.0000 0.0000
Cl: 0.0000 0.0000 0.0000
Rb: 0.5000 0.5000 0.5000

***

3.
Below is crystalline KSe3 at its relaxed geometry, with properties calculated at the PBE level.

Results
spin magnetization	0.0	Bohr magnetons per cell
ΔE_f (raw)	147	meV/atom
relative energy among the computed polymorphs	622	meV/atom

Unit cell a=5.2077 b=5.2077 c=5.2077 alpha=60.00 beta=60.00 gamma=60.00
Element x y z (fractional)
K: 0.0000 0.0000 0.0000
Se: 0.7500 0.7500 0.7500
Se: 0.5000 0.5000 0.5000
Se: 0.2500 0.2500 0.2500